1.
First-principles (PBEsol) data for an optimized crystal structure of Tl7Hg, as listed in Alexandria.

DOS(E_F) ... 4.269 states/eV/cell
Energy of formation ... 1.8 kJ per mole of atoms
M_tot ... 0.0 μB/cell

abc: 6.7623 6.7623 6.7623
angles: 60.00 60.00 60.00
Fractional positions:
Hg: 0.0000 0.0000 0.0000
Tl: 0.0000 0.0000 0.5000
Tl: 0.0000 0.5000 0.0000
Tl: 0.5000 0.0000 0.0000
Tl: 0.5000 0.5000 0.0000
Tl: 0.5000 0.0000 0.5000
Tl: 0.0000 0.5000 0.5000
Tl: 0.5000 0.5000 0.5000


2.
First-principles (PBEsol) data for an optimized crystal structure of Tl3Hg, as listed in Alexandria.

DOS(E_F) ... 3.683 states/eV/cell
Energy of formation ... 0.4 kJ per mole of atoms
M_tot ... 0.0 μB/cell

abc: 5.4977 6.7363 6.7363
angles: 120.00 90.00 90.00
Fractional positions:
Hg: 0.7500 0.6667 0.3333
Hg: 0.2500 0.3333 0.6667
Tl: 0.7500 0.1689 0.8311
Tl: 0.7500 0.6621 0.8311
Tl: 0.7500 0.1689 0.3379
Tl: 0.2500 0.8311 0.1689
Tl: 0.2500 0.3379 0.1689
Tl: 0.2500 0.8311 0.6621


3.
First-principles (PBEsol) data for an optimized crystal structure of TlHg, as listed in Alexandria.

DOS(E_F) ... 1.946 states/eV/cell
Energy of formation ... 1.5 kJ per mole of atoms
M_tot ... 0.0 μB/cell

abc: 3.4955 3.4955 9.8391
angles: 90.00 90.00 120.00
Fractional positions:
Tl: 0.3333 0.6667 0.6385
Tl: 0.6667 0.3333 0.3615
Hg: 0.3333 0.6667 0.1139
Hg: 0.6667 0.3333 0.8861


4.
First-principles (PBEsol) data for an optimized crystal structure of Tl3Hg, as listed in Alexandria.

DOS(E_F) ... 2.023 states/eV/cell
Energy of formation ... 0.4 kJ per mole of atoms
M_tot ... 0.0 μB/cell

abc: 3.6769 5.4343 5.4343
angles: 91.08 90.00 90.00
Fractional positions:
Tl: 0.5000 0.0000 0.5000
Tl: 0.5000 0.5000 0.0000
Tl: 0.0000 0.5000 0.5000
Hg: 0.0000 0.0000 0.0000


5.
First-principles (PBEsol) data for an optimized crystal structure of TlHg, as listed in Alexandria.

DOS(E_F) ... 1.945 states/eV/cell
Energy of formation ... -0.5 kJ per mole of atoms
M_tot ... 0.0 μB/cell

abc: 3.6781 3.6781 7.7121
angles: 90.00 90.00 86.38
Fractional positions:
Tl: 0.2500 0.7500 0.6418
Tl: 0.7500 0.2500 0.3582
Hg: 0.2500 0.7500 0.1111
Hg: 0.7500 0.2500 0.8889


6.
First-principles (PBEsol) data for an optimized crystal structure of Tl3Hg4, as listed in Alexandria.

DOS(E_F) ... 2.418 states/eV/cell
Energy of formation ... 7.6 kJ per mole of atoms
M_tot ... 0.0 μB/cell

abc: 5.5651 6.3015 6.3015
angles: 120.00 90.00 90.00
Fractional positions:
Hg: 0.7452 0.0000 0.0000
Hg: 0.2548 0.0000 0.0000
Hg: 0.5000 0.3333 0.6667
Hg: 0.5000 0.6667 0.3333
Tl: 0.0000 0.0000 0.5000
Tl: 0.0000 0.5000 0.0000
Tl: 0.0000 0.5000 0.5000


7.
First-principles (PBEsol) data for an optimized crystal structure of TlHg2, as listed in Alexandria.

DOS(E_F) ... 2.499 states/eV/cell
Energy of formation ... 0.1 kJ per mole of atoms
M_tot ... 0.0 μB/cell
Energy relative to the lowest polymorph listed for this composition ... 26 meV per atom

abc: 5.3916 5.3916 6.1149
angles: 90.00 90.00 120.00
Fractional positions:
Hg: 0.0000 0.0000 0.0000
Hg: 0.0000 0.0000 0.5000
Hg: 0.6667 0.3333 0.2500
Hg: 0.3333 0.6667 0.7500
Tl: 0.6667 0.3333 0.7500
Tl: 0.3333 0.6667 0.2500


8.
First-principles (PBEsol) data for an optimized crystal structure of Tl3Hg, as listed in Alexandria.

DOS(E_F) ... 1.911 states/eV/cell
Energy of formation ... 0.6 kJ per mole of atoms
M_tot ... 0.0 μB/cell

abc: 3.4307 5.4368 5.8035
angles: 90.00 90.00 90.00
Fractional positions:
Tl: 0.5000 0.0000 0.4896
Tl: 0.5000 0.5000 0.8472
Tl: 0.0000 0.5000 0.3396
Hg: 0.0000 0.0000 0.9903


9.
First-principles (PBEsol) data for an optimized crystal structure of TlHg2, as listed in Alexandria.

DOS(E_F) ... 0.871 states/eV/cell
Energy of formation ... -2.4 kJ per mole of atoms
M_tot ... 0.0 μB/cell
Energy relative to the lowest polymorph listed for this composition ... 0 meV per atom

abc: 3.4554 3.4554 6.7930
angles: 104.73 104.73 90.00
Fractional positions:
Tl: 0.0000 0.0000 0.0000
Hg: 0.3265 0.3265 0.6529
Hg: 0.6735 0.6735 0.3471


10.
First-principles (PBEsol) data for an optimized crystal structure of TlHg, as listed in Alexandria.

DOS(E_F) ... 1.083 states/eV/cell
Energy of formation ... -1.3 kJ per mole of atoms
M_tot ... 0.0 μB/cell

abc: 3.7336 3.7336 3.7336
angles: 90.00 90.00 90.00
Fractional positions:
Tl: 0.5000 0.5000 0.5000
Hg: 0.0000 0.0000 0.0000


11.
First-principles (PBEsol) data for an optimized crystal structure of TlHg2, as listed in Alexandria.

DOS(E_F) ... 2.265 states/eV/cell
Energy of formation ... -0.5 kJ per mole of atoms
M_tot ... 0.0 μB/cell
Energy relative to the lowest polymorph listed for this composition ... 19 meV per atom

abc: 3.2933 6.4816 7.5876
angles: 104.58 90.00 104.72
Fractional positions:
Hg: 0.0007 0.0014 0.0082
Hg: 0.6701 0.3402 0.3345
Hg: 0.3293 0.6587 0.6583
Hg: 0.3908 0.7816 0.2756
Tl: 0.0483 0.0965 0.6062
Tl: 0.7274 0.4549 0.9506


12.
First-principles (PBEsol) data for an optimized crystal structure of Tl3Hg, as listed in Alexandria.

DOS(E_F) ... 1.975 states/eV/cell
Energy of formation ... 0.9 kJ per mole of atoms
M_tot ... 0.0 μB/cell

abc: 3.3157 6.2479 6.2479
angles: 116.94 100.19 100.19
Fractional positions:
Tl: 0.5000 0.0000 0.5000
Tl: 0.5000 0.5000 0.0000
Tl: 0.0000 0.5000 0.5000
Hg: 0.0000 0.0000 0.0000


13.
First-principles (PBEsol) data for an optimized crystal structure of TlHg, as listed in Alexandria.

DOS(E_F) ... 11.700 states/eV/cell
Energy of formation ... -0.4 kJ per mole of atoms
M_tot ... 0.0 μB/cell

abc: 6.2952 9.4015 10.6587
angles: 90.00 90.00 90.00
Fractional positions:
Hg: 0.7500 0.8937 0.1341
Hg: 0.2500 0.1063 0.8659
Hg: 0.7500 0.3937 0.8659
Hg: 0.2500 0.6063 0.1341
Hg: 0.7500 0.4456 0.4131
Hg: 0.2500 0.5544 0.5869
Hg: 0.7500 0.9456 0.5869
Hg: 0.2500 0.0544 0.4131
Hg: 0.0000 0.2500 0.0924
Hg: 0.5000 0.7500 0.9076
Hg: 0.0000 0.7500 0.9076
Hg: 0.5000 0.2500 0.0924
Tl: 0.7500 0.5478 0.1310
Tl: 0.2500 0.4522 0.8690
Tl: 0.7500 0.0478 0.8690
Tl: 0.2500 0.9522 0.1310
Tl: 0.7500 0.1264 0.3350
Tl: 0.2500 0.8736 0.6650
Tl: 0.7500 0.6264 0.6650
Tl: 0.2500 0.3736 0.3350
Tl: 0.0000 0.2500 0.6250
Tl: 0.5000 0.7500 0.3750
Tl: 0.0000 0.7500 0.3750
Tl: 0.5000 0.2500 0.6250


14.
First-principles (PBEsol) data for an optimized crystal structure of TlHg2, as listed in Alexandria.

DOS(E_F) ... 2.254 states/eV/cell
Energy of formation ... -0.4 kJ per mole of atoms
M_tot ... 0.0 μB/cell
Energy relative to the lowest polymorph listed for this composition ... 20 meV per atom

abc: 3.4016 5.5449 8.2552
angles: 90.00 101.89 90.00
Fractional positions:
Hg: 0.6090 0.7500 0.2181
Hg: 0.9515 0.7500 0.9030
Hg: 0.0485 0.2500 0.0970
Hg: 0.3910 0.2500 0.7819
Tl: 0.2841 0.7500 0.5682
Tl: 0.7159 0.2500 0.4318